! Ac3Hg2Ge3 (GGA-PBE, optimized geometry); values from VASP
! - DOS(E_F): 0.55 states/eV/atom
! - Formation energy from the elements: -544 meV/atom
! - Symmetry: Cmcm
&SYSTEM
  ibrav = 0, nat = 16, ntyp = 3
/
ATOMIC_SPECIES
Ac 227.00 Ac.upf
Hg 200.59 Hg.upf
Ge 72.64 Ge.upf
CELL_PARAMETERS angstrom
2.321 -6.094 0.000
2.321 6.094 0.000
0.000 0.000 15.877
ATOMIC_POSITIONS crystal
Ac 0.069 0.931 0.612
Ac 0.069 0.931 0.888
Ac 0.350 0.650 0.750
Ac 0.650 0.350 0.250
Ac 0.931 0.069 0.112
Ac 0.931 0.069 0.388
Hg 0.227 0.773 0.095
Hg 0.227 0.773 0.405
Hg 0.773 0.227 0.595
Hg 0.773 0.227 0.905
Ge 0.370 0.630 0.250
Ge 0.387 0.613 0.543
Ge 0.387 0.613 0.957
Ge 0.613 0.387 0.043
Ge 0.613 0.387 0.457
Ge 0.630 0.370 0.750

=====

! AcHoHgGe (GGA-PBE, optimized geometry); values from VASP
! - DOS(E_F): 1.23 states/eV/atom
! - Formation energy from the elements: -478 meV/atom
! - Symmetry: F-43m
&SYSTEM
  ibrav = 0, nat = 4, ntyp = 4
/
ATOMIC_SPECIES
Ac 227.00 Ac.upf
Ho 164.93 Ho.upf
Hg 200.59 Hg.upf
Ge 72.64 Ge.upf
CELL_PARAMETERS angstrom
0.000 3.818 3.818
3.818 0.000 3.818
3.818 3.818 0.000
ATOMIC_POSITIONS crystal
Ac 0.000 0.000 0.000
Ho 0.500 0.500 0.500
Hg 0.750 0.750 0.750
Ge 0.250 0.250 0.250

=====

! Ac6HgGe2I3 (GGA-PBE, optimized geometry); values from VASP
! - DOS(E_F): 0.56 states/eV/atom
! - Formation energy (no corrections): -894 meV per atom
! - Symmetry: C2/m
&SYSTEM
  ibrav = 0, nat = 12, ntyp = 4
/
ATOMIC_SPECIES
Ac 227.00 Ac.upf
Hg 200.59 Hg.upf
Ge 72.64 Ge.upf
I 126.90 I.upf
CELL_PARAMETERS angstrom
10.471 -2.325 0.000
10.471 2.325 0.000
-2.477 0.000 9.415
ATOMIC_POSITIONS crystal
Ac 0.012 0.012 0.234
Ac 0.323 0.323 0.442
Ac 0.338 0.338 0.886
Ac 0.662 0.662 0.114
Ac 0.677 0.677 0.558
Ac 0.988 0.988 0.766
Hg 0.500 0.500 0.000
Ge 0.168 0.168 0.335
Ge 0.832 0.832 0.665
I 0.166 0.166 0.830
I 0.500 0.500 0.500
I 0.834 0.834 0.170

=====

! AcInHgGe (GGA-PBE, optimized geometry); values from VASP
! - DOS(E_F): 0.67 states/eV/atom
! - Formation energy from the elements: -332 meV/atom
! - Symmetry: F-43m
&SYSTEM
  ibrav = 0, nat = 4, ntyp = 4
/
ATOMIC_SPECIES
Ac 227.00 Ac.upf
In 114.82 In.upf
Hg 200.59 Hg.upf
Ge 72.64 Ge.upf
CELL_PARAMETERS angstrom
0.000 3.796 3.796
3.796 0.000 3.796
3.796 3.796 0.000
ATOMIC_POSITIONS crystal
Ac 0.000 0.000 0.000
In 0.500 0.500 0.500
Hg 0.750 0.750 0.750
Ge 0.250 0.250 0.250

=====

Look up the DOS(E_F) of the third one.
0.56 states/eV/atom

=====

What is the DOS(E_F) in the fourth record?
0.67 states/eV/atom